Ga2NiBrO | PBE with a Hubbard U | optimized geometry

abc: 5.300 5.300 3.829
angles: 90.00 90.00 90.00
Space group P4/mmm (No. 123)
Asymmetric unit:
Ga 0.000 0.500 0.000 (multiplicity 2)
Ni 0.000 0.000 0.500 (multiplicity 1)
Br 0.500 0.500 0.000 (multiplicity 1)
O 0.500 0.500 0.500 (multiplicity 1)

Results
Magnetization in μB/f.u.: 0.0
DOS(E_F) in states/eV per cell: 2.67
Density in g/cm3: 4.540
VASP energy in eV/atom: -2.02